Entry from the Alexandria database: a PBEsol-optimized structure of LiMo2P3O11 (SCAN).

The structure in POSCAR format:
```
LiMo2P3O11
1.0
-6.6449 0.4459 -3.0203
-1.2947 -6.5754 -2.9262
-5.9709 -4.4838 4.9195
Li Mo P O
2 4 6 22
Cartesian
-9.1313 -4.4559 -2.9452 Li
-7.2293 -2.9420 1.8751 Li
-4.7568 -6.5367 -2.6694 Mo
-10.5499 -5.1682 -0.2589 Mo
-6.3807 -7.7157 1.6912 Mo
-6.1313 -1.8089 -0.8168 Mo
-5.5318 -4.8969 0.0380 P
-9.3926 -2.1079 -0.5564 P
-9.1675 -6.2541 2.4372 P
-7.7209 -6.5797 -1.0533 P
-5.4166 -3.4752 -3.4760 P
-1.5248 -6.2735 -2.9302 P
-2.7972 -1.5655 1.3118 O
-5.2918 -4.5439 3.7458 O
-5.6427 -3.4495 0.4834 O
-5.3632 -5.8446 1.2479 O
-8.0770 -6.7803 -4.7632 O
-11.6418 -8.3541 -2.3480 O
-5.3902 -4.9321 -3.8526 O
-11.5797 -7.0359 0.2028 O
-6.4214 -3.1430 -2.3751 O
-2.9637 -6.2016 -3.5200 O
-9.0811 -6.0964 -1.5247 O
-3.9417 -3.1016 -2.9727 O
-6.8364 -7.0140 -2.2448 O
-7.7507 -7.6820 0.0084 O
-9.6926 -3.5304 -1.1583 O
-7.1907 -9.3410 2.5591 O
-9.2069 -5.2160 1.3179 O
-4.0515 -1.3191 -1.2600 O
-6.9800 -5.2742 -0.5139 O
-7.7748 -6.6595 2.8387 O
-7.9494 -2.1857 0.0657 O
-4.4474 -5.1785 -1.0052 O
```

Results
Formation energy (no corrections)   -2.245 eV per atom
SG   C2
Volume   413.8 Å³/cell
E_tot   -12.3564 eV/atom